Entry P
AlTcNi: optimized geometry, PBE.

Output
* ρ: 6.77 g/cm³

Lattice parameters (Å, degrees): 5.6497 5.6497 5.6497 90.00 90.00 90.00
With the nearest neighbours (Å) after each atom.
Space group F-43m (No. 216)
Symmetry-distinct sites (fractional):
Al  0.0000  0.0000  0.0000 (multiplicity 4)  4 Ni 2.45
Tc  0.0000  0.0000  0.5000 (multiplicity 4)  4 Ni 2.45
Ni  0.2500  0.2500  0.2500 (multiplicity 4)  4 Tc 2.45, 4 Al 2.45

=====

Entry Q
AlTcNi: optimized geometry, PBE.

Output
* ρ: 6.34 g/cm³

Lattice parameters (Å, degrees): 5.7746 5.7746 5.7746 90.00 90.00 90.00
With the nearest neighbours (Å) after each atom.
Space group F-43m (No. 216)
Symmetry-distinct sites (fractional):
Al  0.0000  0.0000  0.0000 (multiplicity 4)  4 Tc 2.50
Tc  0.2500  0.2500  0.2500 (multiplicity 4)  4 Ni 2.50, 4 Al 2.50
Ni  0.0000  0.0000  0.5000 (multiplicity 4)  4 Tc 2.50

=====

Computed energies relative to the best structure, in kJ/mol of atoms: entry P 0.0; entry Q 33.5